The following is a PBE-GGA calculation of crystalline Ba2SrEu at its relaxed geometry, from Alexandria.

## Properties
Distance to the lowest polymorph of the same formula (eV/atom): 0.0074
Size of the total moment (μB per formula unit): 7.4
SG: No. 225
VASP energy (eV per atom): -3.916
V (Å³ per cell): 225.00

Cell: 6.8270 6.8270 6.8270 Å, 60.00 60.00 60.00°
Last column: nearest neighbours and their distance in Å.
Positions (direct):
Eu: 0.0000 0.0000 0.0000  8 Ba 4.18
Sr: 0.5000 0.5000 0.5000  8 Ba 4.18
Ba: 0.2500 0.2500 0.2500  4 Eu 4.18, 4 Sr 4.18
Ba: 0.7500 0.7500 0.7500  4 Eu 4.18, 4 Sr 4.18